1.
! CaMnIr | Alexandria | PBE | relaxed; values from VASP
&SYSTEM
  ibrav = 0, nat = 12, ntyp = 3
/
ATOMIC_SPECIES
Mn 54.94 Mn.upf
Ir 192.22 Ir.upf
Ca 40.08 Ca.upf
CELL_PARAMETERS angstrom
-5.9207 -0.1719 3.9070
-2.0070 -2.0112 -3.1298
2.0334 -6.3870 2.8004
ATOMIC_POSITIONS crystal
Mn 0.6607 0.7500 0.9178
Mn 0.8393 0.2500 0.4178
Mn 0.1607 0.7500 0.5822
Mn 0.3393 0.2500 0.0822
Ir 0.1679 0.2500 0.4182
Ir 0.6679 0.2500 0.0818
Ir 0.3321 0.7500 0.9182
Ir 0.8321 0.7500 0.5818
Ca 0.5033 0.2500 0.6782
Ca 0.0033 0.2500 0.8218
Ca 0.4967 0.7500 0.3218
Ca 0.9967 0.7500 0.1782
! - energy relative to the elements (eV per formula unit) = -0.06
! - polymorph energy (0 for the lowest one) (eV per atom) = 0.1842
! - total magnetization (μB/f.u.) = 0.00
! - electronic total energy (eV/atom) = -6.698

=====

2.
! CoPbCl2 | Alexandria | PBE | relaxed; values from VASP
&SYSTEM
  ibrav = 0, nat = 4, ntyp = 3
/
ATOMIC_SPECIES
Cl 35.45 Cl.upf
Co 58.93 Co.upf
Pb 207.20 Pb.upf
CELL_PARAMETERS angstrom
-2.9570 1.0665 1.4534
-0.5730 -0.3835 -3.3938
-2.2555 -8.0050 1.2854
ATOMIC_POSITIONS crystal
Cl 0.0000 0.0000 0.9645
Cl 0.5000 0.5000 0.3480
Co 0.0000 0.0000 0.4588
Pb 0.5000 0.5000 0.7287
! - polymorph energy (0 for the lowest one) (eV per atom) = 0.2788
! - total magnetization (μB/f.u.) = 2.04
! - electronic total energy (eV/atom) = -3.745
! - formation energy from raw total energies (meV/atom) = -119

=====

3.
! Pu2AgBiO8 | Alexandria | PBE | relaxed; values from VASP
&SYSTEM
  ibrav = 0, nat = 12, ntyp = 4
/
ATOMIC_SPECIES
Pu 244.00 Pu.upf
Ag 107.87 Ag.upf
O 16.00 O.upf
Bi 208.98 Bi.upf
CELL_PARAMETERS angstrom
-6.3443 0.2484 -0.8611
1.9250 -6.0566 -0.8161
1.4862 1.9913 5.9059
ATOMIC_POSITIONS crystal
Pu 0.5000 0.5000 0.0000
Pu 0.7500 0.2500 0.5000
Ag 0.2500 0.7500 0.5000
O 0.3064 0.4893 0.1830
O 0.3064 0.1234 0.8170
O 0.9294 0.6258 0.6964
O 0.5107 0.6936 0.8170
O 0.3742 0.0706 0.3036
O 0.9294 0.2330 0.3036
O 0.8766 0.6936 0.1830
O 0.7670 0.0706 0.6964
Bi 0.0000 0.0000 0.0000
! - total magnetization (μB/f.u.) = 4.40
! - electronic total energy (eV/atom) = -7.735
! - formation energy from raw total energies (meV/atom) = -1480